Entry 1:
Below is an optimized crystal structure of NbInAuSe3, with properties calculated at the PBE level.

Calculated values
- Total magnetic moment: 0.4 μB per formula unit
- SG: Cmcm (63)
- Total DFT energy (no corrections): -4.755 eV per atom

```
12
Lattice="-2.291 3.884 -6.053 -3.694 0.529 -6.561 -8.429 2.773 4.970" Properties=species:S:1:pos:R:3 pbc="T T T"
In -10.769 5.359 -5.647
Se -9.168 5.137 -8.604
Au -6.639 2.314 3.057
Au -7.774 4.872 -10.701
Se -8.979 3.277 3.161
Nb -7.207 3.593 -3.822
Se -8.838 3.936 -1.577
Se -5.435 3.909 -10.805
Se -5.575 3.250 -6.067
Nb -2.993 2.206 -6.307
In -3.644 1.827 -1.997
Se -5.246 2.049 0.960
```


Entry 2:
Below is an optimized crystal structure of YScFeGe, with properties calculated at the PBE level.

Calculated values
- Total magnetic moment: 0.0 μB per formula unit
- SG: F-43m (216)
- Total DFT energy (no corrections): -6.559 eV per atom

```
4
Lattice="-0.594 -4.238 -1.687 -3.994 -2.190 0.637 -2.840 -0.684 -3.553" Properties=species:S:1:pos:R:3 pbc="T T T"
Ge 0.000 0.000 0.000
Sc -1.857 -1.778 -1.151
Y -3.714 -3.556 -2.302
Fe -5.571 -5.334 -3.453
```


Entry 3:
Below is an optimized crystal structure of ScPd2, with properties calculated at the PBE level.

Calculated values
- Total magnetic moment: 0.0 μB per formula unit
- SG: Pmma (51)
- Energy relative to the elements: -0.892 eV/atom

```
24
Lattice="16.889 0.000 0.000 0.000 4.148 0.000 0.000 0.000 5.641" Properties=species:S:1:pos:R:3 pbc="T T T"
Pd 5.672 0.000 0.339
Pd 5.629 0.000 3.158
Pd 12.667 2.074 3.944
Pd 4.222 2.074 1.697
Sc 4.222 2.074 4.529
Sc 0.000 0.000 0.000
Sc 6.857 2.074 1.824
Pd 15.591 2.074 1.096
Pd 14.074 0.000 2.483
Sc 8.445 0.000 0.000
Pd 11.217 0.000 5.302
Sc 15.302 2.074 3.817
Pd 0.000 0.000 2.821
Pd 2.815 0.000 3.158
Pd 8.445 0.000 2.821
Sc 1.588 2.074 1.824
Pd 7.146 2.074 4.545
Sc 12.667 2.074 1.112
Sc 10.033 2.074 3.817
Pd 14.117 0.000 5.302
Pd 1.299 2.074 4.545
Pd 9.744 2.074 1.096
Pd 2.772 0.000 0.339
Pd 11.260 0.000 2.483
```


Entry 4:
Below is an optimized crystal structure of Na3Ag, with properties calculated at the PBE level.

Calculated values
- SG: P6_3cm (185)
- Total DFT energy (no corrections): -1.677 eV per atom

```
24
Lattice="8.771 0.000 0.000 -4.385 7.596 0.000 0.000 0.000 9.076" Properties=species:S:1:pos:R:3 pbc="T T T"
Na 3.324 0.000 3.823
Na 4.385 2.532 6.218
Na 2.427 0.000 0.751
Na 0.000 0.000 3.027
Na 5.447 0.000 8.361
Na -1.662 2.879 3.823
Ag 2.949 5.108 6.833
Ag 5.899 0.000 2.295
Na -1.214 2.102 0.751
Na 0.000 5.064 6.218
Na 3.172 5.493 0.751
Na 0.000 0.000 7.565
Na 6.343 0.000 5.289
Ag 1.436 2.487 2.295
Na 1.662 2.879 8.361
Na 2.723 4.717 3.823
Na 4.385 2.532 1.680
Ag 2.872 0.000 6.833
Na -2.723 4.717 8.361
Na -3.172 5.493 5.289
Na 1.214 2.102 5.289
Ag -2.949 5.108 2.295
Na 0.000 5.064 1.680
Ag -1.436 2.487 6.833
```


Entry 5:
Below is an optimized crystal structure of Tb2CoGe4Pt, with properties calculated at the PBE level.

Calculated values
- Total magnetic moment: 0.0 μB per formula unit
- SG: Amm2 (38)
- Total DFT energy (no corrections): -5.848 eV per atom

```
8
Lattice="-0.433 -3.995 -1.535 -3.961 -2.413 7.398 -7.082 -1.145 4.977" Properties=species:S:1:pos:R:3 pbc="T T T"
Tb -1.171 -0.377 1.312
Co -3.543 -1.141 3.970
Ge -6.096 -3.891 5.821
Ge -3.100 -2.926 2.464
Pt -7.674 -4.400 7.589
Tb -10.080 -5.175 10.285
Ge -5.028 -1.620 5.634
Ge -8.349 -2.689 9.356
```


Entry 6:
Below is an optimized crystal structure of Cu2C3S3, with properties calculated at the PBE level.

Calculated values
- SG: P-1 (2)
- Total DFT energy (no corrections): -5.861 eV per atom

```
16
Lattice="3.934 0.000 0.000 0.784 8.170 0.000 0.949 3.587 7.474" Properties=species:S:1:pos:R:3 pbc="T T T"
Cu 0.000 0.000 0.000
S 3.189 1.478 1.584
C 3.897 6.581 6.794
S 2.479 10.279 5.890
C 2.741 2.924 0.708
S 0.938 6.481 1.490
Cu 2.442 1.793 3.737
Cu 1.782 6.857 3.555
C 2.926 8.832 6.766
S 3.672 7.800 4.344
C 1.771 5.175 0.680
C 2.166 4.019 1.377
C 3.501 7.737 6.097
S 4.730 5.276 5.984
S 1.996 3.956 3.130
Cu 3.886 4.899 3.920
```


Entry 7:
Below is an optimized crystal structure of Ta2BeIr, with properties calculated at the PBE level.

Calculated values
- Total magnetic moment: 0.3 μB per formula unit
- SG: F-43m (216)
- Total DFT energy (no corrections): -9.063 eV per atom

```
4
Lattice="0.000 3.123 3.123 3.123 0.000 3.123 3.123 3.123 0.000" Properties=species:S:1:pos:R:3 pbc="T T T"
Ta 0.000 0.000 0.000
Ir 1.561 1.561 1.561
Ta 4.684 4.684 4.684
Be 3.123 3.123 3.123
```


Entry 8:
Below is an optimized crystal structure of NbBSb, with properties calculated at the PBE level.

Calculated values
- Total magnetic moment: 0.0 μB per formula unit
- SG: F-43m (216)
- Total DFT energy (no corrections): -5.806 eV per atom

```
3
Lattice="0.000 3.101 3.101 3.101 0.000 3.101 3.101 3.101 0.000" Properties=species:S:1:pos:R:3 pbc="T T T"
Sb 0.000 0.000 0.000
B 3.101 3.101 3.101
Nb 1.551 1.551 1.551
```


Entry 9:
Below is an optimized crystal structure of Nd2P, with properties calculated at the PBE level.

Calculated values
- Total magnetic moment: 0.0 μB per formula unit
- SG: Fd-3m (227)
- Total DFT energy (no corrections): -4.698 eV per atom

```
6
Lattice="-1.650 2.658 5.284 -1.587 5.931 0.089 -5.854 1.598 0.936" Properties=species:S:1:pos:R:3 pbc="T T T"
Nd -4.889 3.401 3.899
Nd -2.755 5.568 3.475
P 0.000 0.000 0.000
Nd -5.682 6.367 3.943
P -2.273 2.547 1.577
Nd -4.857 5.038 1.301
```


Entry 10:
Below is an optimized crystal structure of K2Er2N, with properties calculated at the PBE level.

Calculated values
- Total magnetic moment: 0.0 μB per formula unit
- SG: I4/mmm (139)
- Total DFT energy (no corrections): -3.945 eV per atom

```
5
Lattice="-2.976 2.976 5.043 2.976 -2.976 5.043 2.976 2.976 -5.043" Properties=species:S:1:pos:R:3 pbc="T T T"
K 0.000 2.976 0.000
Er 0.000 0.000 2.057
K 2.976 0.000 0.000
N 0.000 0.000 0.000
Er 0.000 0.000 8.028
```


Entry 11:
Below is an optimized crystal structure of Gd2TmIn3CuGe2, with properties calculated at the PBE level.

Calculated values
- Total magnetic moment: 0.0 μB per formula unit
- SG: Amm2 (38)
- Total DFT energy (no corrections): -4.433 eV per atom

```
9
Lattice="-2.692 -2.762 -1.774 5.420 -2.480 -4.365 -1.127 -3.136 6.594" Properties=species:S:1:pos:R:3 pbc="T T T"
In 3.798 -4.623 -3.645
In -1.153 -5.120 4.642
In 1.908 -5.637 0.802
Ge 1.867 -4.069 -1.578
Gd 2.108 -4.610 3.979
Gd 4.739 -4.346 -0.425
Ge -0.284 -4.285 2.023
Cu 0.027 -0.035 0.014
Tm 1.727 -2.259 0.897
```


Entry 12:
Below is an optimized crystal structure of TmIrCl6, with properties calculated at the PBE level.

Calculated values
- Total magnetic moment: 0.0 μB per formula unit
- SG: C2 (5)
- Total DFT energy (no corrections): -4.406 eV per atom

```
8
Lattice="3.151 -5.448 0.000 3.151 5.448 0.000 -2.102 0.000 6.090" Properties=species:S:1:pos:R:3 pbc="T T T"
Cl -0.187 1.823 4.682
Cl 4.113 -1.983 1.419
Cl 0.949 0.160 1.422
Cl 4.387 1.823 1.408
Ir 3.151 -3.634 0.000
Cl 0.088 -1.983 4.671
Cl 3.252 0.160 4.669
Tm 3.151 3.633 0.000
```